(1)
DFT (meta-GGA SCAN) results for a PBEsol-optimized structure of PtSeBr2.

Cell lengths 3.4486, 3.4486, 9.2870 Å; angles 90.00, 90.00, 121.90 degrees
Closest atoms and distances in Å follow each position.
Fractional coordinates of all 4 atoms:
Pt: 0.0000 0.0000 0.0000  4 Br 2.45
Se: 0.0000 0.0000 0.5000  4 Br 3.31, 6 Se 3.35-3.45
Br: 0.5000 0.5000 0.1920  2 Pt 2.45
Br: 0.5000 0.5000 0.8080  2 Pt 2.45

Output
- symmetry = No. 65
- total magnetic moment (μB per formula unit) = 0.00
- uncorrected energy (eV/atom) = -31.9194

***

(2)
DFT (meta-GGA SCAN) results for a PBEsol-optimized structure of PtSe2Br.

Cell lengths 3.3711, 3.3711, 8.1009 Å; angles 90.00, 90.00, 90.00 degrees
Closest atoms and distances in Å follow each position.
Fractional coordinates of all 4 atoms:
Pt: 0.0000 0.0000 0.0000  5 Se 2.38-2.55
Se: 0.0000 0.0000 0.2941  1 Pt 2.38
Se: 0.5000 0.5000 0.8889  1 Br 2.53, 4 Pt 2.55
Br: 0.5000 0.5000 0.5770  1 Se 2.53

Output
- symmetry = No. 99
- total magnetic moment (μB per formula unit) = 0.00
- energy above the most stable polymorph in this dataset (eV per atom) = 0.632
- uncorrected energy (eV/atom) = -32.1797

***

(3)
DFT (meta-GGA SCAN) results for a PBEsol-optimized structure of PtSe2Br.

Cell lengths 3.2462, 3.2462, 8.9523 Å; angles 90.00, 90.00, 114.01 degrees
Closest atoms and distances in Å follow each position.
Fractional coordinates of all 4 atoms:
Pt: 0.0000 0.0000 0.0000  2 Se 2.41, 2 Br 2.56
Se: 0.0000 0.0000 0.5450  6 Se 3.01-3.25
Se: 0.5000 0.5000 0.8172  2 Pt 2.41
Br: 0.5000 0.5000 0.2065  2 Pt 2.56

Output
- symmetry = No. 35
- total magnetic moment (μB per formula unit) = 0.00
- energy above the most stable polymorph in this dataset (eV per atom) = 0.756
- uncorrected energy (eV/atom) = -32.0555

***

(4)
DFT (meta-GGA SCAN) results for a PBEsol-optimized structure of PtSeBr2.

Cell lengths 8.0217, 8.0217, 8.0217 Å; angles 26.65, 26.65, 26.65 degrees
Closest atoms and distances in Å follow each position.
Fractional coordinates of all 4 atoms:
Pt: 0.0000 0.0000 0.0000  3 Se 2.52, 3 Br 2.61
Se: 0.7242 0.7242 0.7242  3 Pt 2.52
Br: 0.2683 0.2683 0.2683  3 Pt 2.61
Br: 0.4752 0.4752 0.4752  3 Se 2.90

Output
- symmetry = No. 160
- total magnetic moment (μB per formula unit) = 0.00
- uncorrected energy (eV/atom) = -32.5618